# Y3MnRe | Alexandria | PBE | optimized geometry
# **Total DFT energy (no corrections)**: -7.60 eV per atom
# **M_tot**: 4.50 μB/f.u.
# **Energy above the most stable polymorph in this dataset**: 0 kJ/mol of formula units
# **SG**: Pm-3m, No. 221
data_Y3MnRe
_chemical_formula_sum 'Y3 Mn1 Re1'
_cell_length_a 5.385
_cell_length_b 5.385
_cell_length_c 5.385
_cell_angle_alpha 90.00
_cell_angle_beta 90.00
_cell_angle_gamma 90.00
_symmetry_space_group_name_H-M 'P 1'
_symmetry_Int_Tables_number 1
_symmetry_space_group_name_Hall 'P 1'
loop_
_atom_site_label
_atom_site_type_symbol
_atom_site_fract_x
_atom_site_fract_y
_atom_site_fract_z
Y1 Y 0.000 0.000 0.500
Y2 Y 0.000 0.500 0.000
Y3 Y 0.500 0.000 0.000
Mn1 Mn 0.500 0.500 0.500
Re1 Re 0.000 0.000 0.000

# NaBeAs3 | Alexandria | PBE | optimized geometry
# **Total DFT energy (no corrections)**: -3.56 eV per atom
# **M_tot**: 0.00 μB/f.u.
# **Energy above the most stable polymorph in this dataset**: 0 kJ/mol of formula units
# **SG**: Pm-3m, No. 221
data_NaBeAs3
_chemical_formula_sum 'Na1 Be1 As3'
_cell_length_a 4.637
_cell_length_b 4.637
_cell_length_c 4.637
_cell_angle_alpha 90.00
_cell_angle_beta 90.00
_cell_angle_gamma 90.00
_symmetry_space_group_name_H-M 'P 1'
_symmetry_Int_Tables_number 1
_symmetry_space_group_name_Hall 'P 1'
loop_
_atom_site_label
_atom_site_type_symbol
_atom_site_fract_x
_atom_site_fract_y
_atom_site_fract_z
Na1 Na 0.000 0.000 0.000
Be1 Be 0.500 0.500 0.500
As1 As 0.000 0.500 0.500
As2 As 0.500 0.000 0.500
As3 As 0.500 0.500 0.000

# TlAgTe2 | Alexandria | PBE | optimized geometry
# **Total DFT energy (no corrections)**: -2.95 eV per atom
# **M_tot**: 0.00 μB/f.u.
# **SG**: C2/m, No. 12
# **Raw formation energy**: -27 kJ/mol of formula units
data_TlAgTe2
_chemical_formula_sum 'Tl2 Ag2 Te4'
_cell_length_a 8.372
_cell_length_b 3.228
_cell_length_c 8.513
_cell_angle_alpha 90.00
_cell_angle_beta 91.19
_cell_angle_gamma 90.00
_symmetry_space_group_name_H-M 'P 1'
_symmetry_Int_Tables_number 1
_symmetry_space_group_name_Hall 'P 1'
loop_
_atom_site_label
_atom_site_type_symbol
_atom_site_fract_x
_atom_site_fract_y
_atom_site_fract_z
Tl1 Tl 0.000 0.000 0.000
Tl2 Tl 0.500 0.500 0.000
Ag1 Ag 0.000 0.000 0.500
Ag2 Ag 0.500 0.500 0.500
Te1 Te 0.224 0.500 0.714
Te2 Te 0.276 0.000 0.286
Te3 Te 0.724 0.000 0.714
Te4 Te 0.776 0.500 0.286

# NaCe2Hg8 | Alexandria | PBE | optimized geometry
# **Total DFT energy (no corrections)**: -1.66 eV per atom
# **M_tot**: 2.17 μB/f.u.
# **SG**: Immm, No. 71
data_NaCe2Hg8
_chemical_formula_sum 'Na1 Ce2 Hg8'
_cell_length_a 8.810
_cell_length_b 8.810
_cell_length_c 8.810
_cell_angle_alpha 145.76
_cell_angle_beta 131.27
_cell_angle_gamma 60.90
_symmetry_space_group_name_H-M 'P 1'
_symmetry_Int_Tables_number 1
_symmetry_space_group_name_Hall 'P 1'
loop_
_atom_site_label
_atom_site_type_symbol
_atom_site_fract_x
_atom_site_fract_y
_atom_site_fract_z
Na1 Na 0.000 0.000 0.000
Ce1 Ce 0.300 0.300 0.000
Ce2 Ce 0.700 0.700 0.000
Hg1 Hg 0.148 0.863 0.285
Hg2 Hg 0.161 0.661 0.500
Hg3 Hg 0.288 0.500 0.788
Hg4 Hg 0.422 0.137 0.285
Hg5 Hg 0.578 0.863 0.715
Hg6 Hg 0.712 0.500 0.212
Hg7 Hg 0.839 0.339 0.500
Hg8 Hg 0.852 0.137 0.715

# Pm2HoTlC | Alexandria | PBE | optimized geometry
# **Total DFT energy (no corrections)**: -5.50 eV per atom
# **M_tot**: 0.00 μB/f.u.
# **SG**: P4/mmm, No. 123
data_Pm2HoTlC
_chemical_formula_sum 'Pm2 Ho1 Tl1 C1'
_cell_length_a 5.095
_cell_length_b 5.095
_cell_length_c 4.901
_cell_angle_alpha 90.00
_cell_angle_beta 90.00
_cell_angle_gamma 90.00
_symmetry_space_group_name_H-M 'P 1'
_symmetry_Int_Tables_number 1
_symmetry_space_group_name_Hall 'P 1'
loop_
_atom_site_label
_atom_site_type_symbol
_atom_site_fract_x
_atom_site_fract_y
_atom_site_fract_z
Pm1 Pm 0.000 0.500 0.000
Pm2 Pm 0.500 0.000 0.000
Ho1 Ho 0.000 0.000 0.500
Tl1 Tl 0.500 0.500 0.500
C1 C 0.000 0.000 0.000

# LiHgMo2 | Alexandria | PBE | optimized geometry
# **Total DFT energy (no corrections)**: -5.34 eV per atom
# **M_tot**: 0.00 μB/f.u.
# **SG**: P4/mmm, No. 123
data_LiHgMo2
_chemical_formula_sum 'Li1 Hg1 Mo2'
_cell_length_a 2.709
_cell_length_b 2.709
_cell_length_c 9.164
_cell_angle_alpha 90.00
_cell_angle_beta 90.00
_cell_angle_gamma 90.00
_symmetry_space_group_name_H-M 'P 1'
_symmetry_Int_Tables_number 1
_symmetry_space_group_name_Hall 'P 1'
loop_
_atom_site_label
_atom_site_type_symbol
_atom_site_fract_x
_atom_site_fract_y
_atom_site_fract_z
Li1 Li 0.000 0.000 0.000
Hg1 Hg 0.000 0.000 0.500
Mo1 Mo 0.500 0.500 0.242
Mo2 Mo 0.500 0.500 0.758

# PrHfIn2 | Alexandria | PBE | optimized geometry
# **Total DFT energy (no corrections)**: -5.26 eV per atom
# **M_tot**: 0.01 μB/f.u.
# **Energy above the most stable polymorph in this dataset**: 0 kJ/mol of formula units
# **SG**: P4/mmm, No. 123
data_PrHfIn2
_chemical_formula_sum 'Pr1 Hf1 In2'
_cell_length_a 3.807
_cell_length_b 3.807
_cell_length_c 7.067
_cell_angle_alpha 90.00
_cell_angle_beta 90.00
_cell_angle_gamma 90.00
_symmetry_space_group_name_H-M 'P 1'
_symmetry_Int_Tables_number 1
_symmetry_space_group_name_Hall 'P 1'
loop_
_atom_site_label
_atom_site_type_symbol
_atom_site_fract_x
_atom_site_fract_y
_atom_site_fract_z
Pr1 Pr 0.000 0.000 0.000
Hf1 Hf 0.000 0.000 0.500
In1 In 0.500 0.500 0.283
In2 In 0.500 0.500 0.717

# Mg2MoPt | Alexandria | PBE | optimized geometry
# **Total DFT energy (no corrections)**: -5.08 eV per atom
# **M_tot**: 0.00 μB/f.u.
# **Energy above the most stable polymorph in this dataset**: 56 kJ/mol of formula units
# **SG**: Imm2, No. 44
data_Mg2MoPt
_chemical_formula_sum 'Mg4 Mo2 Pt2'
_cell_length_a 2.886
_cell_length_b 4.758
_cell_length_c 10.043
_cell_angle_alpha 90.00
_cell_angle_beta 90.00
_cell_angle_gamma 90.00
_symmetry_space_group_name_H-M 'P 1'
_symmetry_Int_Tables_number 1
_symmetry_space_group_name_Hall 'P 1'
loop_
_atom_site_label
_atom_site_type_symbol
_atom_site_fract_x
_atom_site_fract_y
_atom_site_fract_z
Mg1 Mg 0.000 0.000 0.000
Mg2 Mg 0.000 0.500 0.217
Mg3 Mg 0.500 0.000 0.717
Mg4 Mg 0.500 0.500 0.500
Mo1 Mo 0.000 0.000 0.455
Mo2 Mo 0.500 0.500 0.955
Pt1 Pt 0.000 0.500 0.730
Pt2 Pt 0.500 0.000 0.230